Record 1
Material: YBe2Mo
Method: DFT, GGA-PBE
State: optimized geometry

Unit cell a=5.1083 b=5.1083 c=5.1083 alpha=136.55 beta=136.55 gamma=63.13
Sites, in units of the cell vectors:
Be 0.2500 0.7500 0.5000
Mo 0.5000 0.5000 0.0000
Be 0.0000 0.0000 0.0000
Y 0.7500 0.2500 0.5000

## Properties
Total magnetization, μB/f.u.: 0.0
Relative energy among the computed polymorphs, meV per atom: 382
Symmetry: No. 119
VASP energy, eV per atom: -5.744
Calculated formation energy, eV/atom: 0.443
Volume, Å³ per cell: 62.2

***

Record 2
Material: RePbW2
Method: DFT, GGA-PBE
State: optimized geometry

Unit cell a=5.4418 b=5.4418 c=5.4418 alpha=144.77 beta=130.94 gamma=61.83
Sites, in units of the cell vectors:
W 0.7586 0.2586 0.5000
Re 0.2428 0.7428 0.5000
W 0.0001 0.0001 0.0000
Pb 0.4985 0.4985 0.0000

## Properties
Total magnetization, μB/f.u.: 0.0
Symmetry: No. 44
VASP energy, eV per atom: -9.673
Calculated formation energy, eV/atom: 0.843
Volume, Å³ per cell: 69.5

***

Record 3
Material: AcGaP2
Method: DFT, GGA-PBE
State: optimized geometry

Unit cell a=4.8162 b=4.8162 c=7.6303 alpha=71.60 beta=71.60 gamma=60.00
Sites, in units of the cell vectors:
P 0.8983 0.8983 0.3052
Ac 0.5000 0.5000 0.5000
P 0.1017 0.1017 0.6948
Ga 0.0000 0.0000 0.0000

## Properties
Total magnetization, μB/f.u.: 0.0
Relative energy among the computed polymorphs, meV per atom: 0
Symmetry: No. 166
VASP energy, eV per atom: -5.025
Calculated formation energy, eV/atom: -0.536
Volume, Å³ per cell: 142.7

***

> Which of these has the lowest VASP energy?

RePbW2

***

> volume of number 3 (AcGaP2)?

142.7 Å³ per cell

***

> Which formula does entry 2 have?

RePbW2